## NaVO (PBE+U)

Data for an optimized crystal structure of NaVO.

Output
E_tot: -5.480 eV per atom
Energy above the most stable polymorph in this dataset: 28.8 meV/atom
Magnetic moment: 2.45 μB per formula unit

```
NaVO
1.0
2.676 -1.562 0.000
2.676 1.562 0.000
-1.763 0.000 11.047
Na V O
2 2 2
direct
0.232 0.232 0.147 Na
0.768 0.768 0.853 Na
0.358 0.358 0.613 V
0.642 0.642 0.387 V
0.054 0.054 0.708 O
0.946 0.946 0.292 O
```